Entry 1:
A plane-wave DFT calculation with PBE was carried out for TiH3Pt after structural relaxation.

Structure (POSCAR):
```
TiH3Pt
1.0
-2.9767 0.0405 1.7982
-0.0715 -3.4770 -0.0399
1.7972 -0.0711 2.9767
H Ti Pt
3 1 1
Direct
0.0000 0.0000 0.5000
0.0000 0.5000 0.0000
0.5000 0.0000 0.0000
0.0000 0.0000 0.0000
0.5000 0.5000 0.5000
```

For the total magnetization, the calculation gives 0.0 μB per cell. For the volume, the calculation gives 42.1 Å³/cell. As for the density of states at the Fermi level: 0.50 states/eV per atom. The final energy is -4.70 eV per atom.



Entry 2:
A plane-wave DFT calculation with PBE was carried out for RbAl2Cl6 after structural relaxation.

Structure (POSCAR):
```
RbAl2Cl6
1.0
7.6034 0.0000 0.0000
3.8017 6.5847 0.0000
3.8017 2.1949 7.3854
Cl Rb Al
6 1 2
Direct
0.3197 0.5534 0.2629
0.5534 0.8640 0.2629
0.4666 0.0126 0.7437
0.7772 0.4666 0.7437
0.8640 0.3197 0.2629
0.0126 0.7772 0.7437
0.3400 0.3400 0.9800
0.6024 0.6024 0.1927
0.7298 0.7298 0.8105
```

For the total magnetization, the calculation gives 1.0 μB per cell. For the volume, the calculation gives 369.8 Å³/cell. The final energy is -3.64 eV per atom. For the energy relative to the elements, uncorrected, the calculation gives -13.2 eV per formula unit.



Entry 3:
A plane-wave DFT calculation with PBE was carried out for AlFeCo after structural relaxation.

Structure (POSCAR):
```
AlFeCo
1.0
3.8853 0.0000 0.0000
1.9426 3.3648 0.0000
1.9426 1.1216 3.1723
Fe Al Co
1 1 1
Direct
0.0000 0.0000 0.0000
0.5000 0.5000 0.5000
0.7500 0.7500 0.7500
```

For the total magnetization, the calculation gives 2.7 μB per cell. For the volume, the calculation gives 41.5 Å³/cell. As for the density of states at the Fermi level: 1.10 states/eV per atom. The final energy is -6.39 eV per atom. The formation energy comes out at 45 meV per atom.



Entry 4:
A plane-wave DFT calculation with PBE was carried out for PuTlCd after structural relaxation.

Structure (POSCAR):
```
PuTlCd
1.0
3.2607 0.0000 0.0000
0.0000 5.2190 0.0000
0.0000 -2.6095 4.5198
Pu Tl Cd
1 1 1
Direct
0.6666 0.3333 0.6667
0.1675 0.6667 0.3333
0.1659 0.0000 0.0000
```

For the total magnetization, the calculation gives 5.9 μB per cell. For the volume, the calculation gives 76.9 Å³/cell. As for the density of states at the Fermi level: 3.35 states/eV per atom. The final energy is -5.92 eV per atom. The formation energy comes out at -44 meV per atom.



Entry 5:
A plane-wave DFT calculation with PBE was carried out for BaTc2Au after structural relaxation.

Structure (POSCAR):
```
BaTc2Au
1.0
2.5555 -1.8100 3.7525
3.2389 2.8176 2.3363
-0.9239 1.5286 4.5495
Au Ba Tc
1 1 2
Direct
0.5000 0.5000 0.5000
0.0000 0.0000 0.0000
0.2500 0.2500 0.2500
0.7500 0.7500 0.7500
```

For the total magnetization, the calculation gives 4.6 μB per cell. For the volume, the calculation gives 82.6 Å³/cell. As for the density of states at the Fermi level: 1.19 states/eV per atom. The final energy is -5.28 eV per atom. The formation energy comes out at 1198 meV per atom.



Entry 6:
A plane-wave DFT calculation with PBE was carried out for Ce2In12Ag after structural relaxation.

Structure (POSCAR):
```
Ce2In12Ag
1.0
-4.3220 -1.1880 -5.2461
-3.4532 -4.5470 3.8747
-10.2832 12.5977 5.6190
In Ce Ag
24 4 2
Direct
0.2503 0.2497 0.0892
0.7497 0.7503 0.0892
0.1631 0.3369 0.4287
0.7503 0.7497 0.9108
0.3369 0.1631 0.5713
0.5000 0.5000 0.1864
0.6631 0.1631 0.4287
0.0000 0.0000 0.6550
0.0000 0.0000 0.1864
0.1631 0.6631 0.5713
0.2503 0.7503 0.9108
0.5000 0.5000 0.3450
0.0000 0.0000 0.8136
0.7497 0.2497 0.9108
0.0000 0.0000 0.3450
0.6631 0.8369 0.5713
0.7503 0.2503 0.0892
0.5000 0.5000 0.6550
0.8369 0.6631 0.4287
0.2497 0.2503 0.9108
0.2497 0.7497 0.0892
0.8369 0.3369 0.5713
0.3369 0.8369 0.4287
0.5000 0.5000 0.8136
0.5000 0.0000 0.7592
0.0000 0.5000 0.7592
0.5000 0.0000 0.2408
0.0000 0.5000 0.2408
0.5000 0.0000 0.0000
0.0000 0.5000 0.0000
```

For the total magnetization, the calculation gives 4.3 μB per cell. For the volume, the calculation gives 819.2 Å³/cell. As for the density of states at the Fermi level: 1.35 states/eV per atom. The final energy is -3.28 eV per atom. The formation energy comes out at -112 meV per atom.